# 1
The following is a DFT calculation (PBE) of a relaxed structure of Sr2CaAu.

Unit cell a=5.524 b=5.524 c=4.668 alpha=89.97 beta=89.97 gamma=90.01
Atoms (fractional coordinates):
Sr: 0.000 0.000 0.000
Au: 0.500 0.000 0.500
Ca: 0.000 0.500 0.500
Sr: 0.500 0.500 0.000

Calculated values
- space-group type = No. 123
- DFT formation energy (eV per atom) = -0.188
- energy above the most stable polymorph in this dataset (kcal/mol of atoms) = 6.15
- final energy (eV per formula unit) = -9.39


# 2
The following is a DFT calculation (PBE) of a relaxed structure of SmEr2Tl2Cd2.

Unit cell a=5.022 b=5.022 c=9.155 alpha=74.08 beta=74.08 gamma=60.00
Atoms (fractional coordinates):
Cd: 0.433 0.433 0.702
Tl: 0.268 0.268 0.195
Tl: 0.732 0.732 0.805
Cd: 0.567 0.567 0.298
Er: 0.866 0.866 0.402
Sm: 0.000 0.000 0.000
Er: 0.134 0.134 0.598

Calculated values
- space-group type = No. 166
- DFT formation energy (eV per atom) = -0.149
- final energy (eV per formula unit) = -21.45


# 3
The following is a DFT calculation (PBE) of a relaxed structure of CdSbP2S.

Unit cell a=4.947 b=4.947 c=4.909 alpha=90.00 beta=90.00 gamma=90.00
Atoms (fractional coordinates):
Cd: 0.000 0.000 0.000
Sb: 0.500 0.500 0.500
S: 0.000 0.000 0.500
P: 0.000 0.500 0.000
P: 0.500 0.000 0.000

Calculated values
- space-group type = No. 123
- energy above the most stable polymorph in this dataset (kcal/mol of atoms) = 3.46
- final energy (eV per formula unit) = -14.95
- formation energy from raw total energies (eV/atom) = 1.007